1.
Entry from Alexandria via LeMat-Bulk: crystalline Li7DyHg4 at its relaxed geometry (PBE).

```
data_Li7DyHg4
_chemical_formula_sum 'Li14 Dy2 Hg8'
_symmetry_space_group_name_H-M 'C 1 2/m 1'
_symmetry_Int_Tables_number 12
_cell_length_a 13.635
_cell_length_b 5.028
_cell_length_c 8.955
_cell_angle_alpha 90.00
_cell_angle_beta 127.88
_cell_angle_gamma 90.00
loop_
_symmetry_equiv_pos_as_xyz
'x,y,z'
'-x,-y,-z'
'-x,y,-z'
'x,-y,z'
'x+1/2,y+1/2,z'
'-x+1/2,-y+1/2,-z'
'-x+1/2,y+1/2,-z'
'x+1/2,-y+1/2,z'
loop_
_atom_site_label
_atom_site_fract_x
_atom_site_fract_y
_atom_site_fract_z
Li1 0.000 0.000 0.000
Li2 0.054 0.500 0.405
Li3 0.188 0.000 0.636
Li4 0.213 0.500 0.871
Dy1 0.000 0.500 0.000
Hg1 0.065 0.000 0.779
Hg2 0.198 0.000 0.341
```

Properties
crystal system = monoclinic

---

2.
Entry from Alexandria via LeMat-Bulk: crystalline Li2DyHg6 at its relaxed geometry (PBE).

```
data_Li2DyHg6
_chemical_formula_sum 'Li8 Dy4 Hg24'
_symmetry_space_group_name_H-M 'C 1 2/c 1'
_symmetry_Int_Tables_number 15
_cell_length_a 14.260
_cell_length_b 11.012
_cell_length_c 5.268
_cell_angle_alpha 90.00
_cell_angle_beta 99.27
_cell_angle_gamma 90.00
loop_
_symmetry_equiv_pos_as_xyz
'x,y,z'
'-x,-y,-z'
'-x,y,-z+1/2'
'x,-y,z+1/2'
'x+1/2,y+1/2,z'
'-x+1/2,-y+1/2,-z'
'-x+1/2,y+1/2,-z+1/2'
'x+1/2,-y+1/2,z+1/2'
loop_
_atom_site_label
_atom_site_fract_x
_atom_site_fract_y
_atom_site_fract_z
Li1 0.163 0.124 0.089
Dy1 0.000 0.373 0.250
Hg1 0.058 0.119 0.527
Hg2 0.119 0.372 0.806
Hg3 0.231 0.374 0.349
```

Properties
crystal system = monoclinic

---

3.
Entry from Alexandria via LeMat-Bulk: crystalline Li2DyHg at its relaxed geometry (PBE).

```
data_Li2DyHg
_chemical_formula_sum 'Li8 Dy4 Hg4'
_symmetry_space_group_name_H-M 'F m -3 m'
_symmetry_Int_Tables_number 225
_symmetry_space_group_name_Hall '-F 4 2 3'
_cell_length_a 6.785
_cell_length_b 6.785
_cell_length_c 6.785
_cell_angle_alpha 90.00
_cell_angle_beta 90.00
_cell_angle_gamma 90.00
loop_
_atom_site_label
_atom_site_fract_x
_atom_site_fract_y
_atom_site_fract_z
Li1 0.250 0.250 0.250
Dy1 0.000 0.000 0.000
Hg1 0.000 0.000 0.500
```

Properties
crystal system = cubic

---

4.
Entry from Alexandria via LeMat-Bulk: crystalline Li2Dy3Hg6 at its relaxed geometry (PBE).

```
data_Li2Dy3Hg6
_chemical_formula_sum 'Li4 Dy6 Hg12'
_symmetry_space_group_name_H-M 'I 4/m m m'
_symmetry_Int_Tables_number 139
_symmetry_space_group_name_Hall '-I 4 2'
_cell_length_a 4.665
_cell_length_b 4.665
_cell_length_c 23.809
_cell_angle_alpha 90.00
_cell_angle_beta 90.00
_cell_angle_gamma 90.00
loop_
_atom_site_label
_atom_site_fract_x
_atom_site_fract_y
_atom_site_fract_z
Li1 0.000 0.000 0.050
Dy1 0.000 0.000 0.308
Dy2 0.000 0.000 0.500
Hg1 0.000 0.000 0.183
Hg2 0.000 0.500 0.096
```

Properties
crystal system = tetragonal

---

5.
Entry from Alexandria via LeMat-Bulk: crystalline LiDyHg2 at its relaxed geometry (PBE).

```
data_LiDyHg2
_chemical_formula_sum 'Li3 Dy3 Hg6'
_symmetry_space_group_name_H-M 'R 3 m'
_symmetry_Int_Tables_number 160
_symmetry_space_group_name_Hall 'R 3 -2"'
_cell_length_a 3.8355
_cell_length_b 3.8355
_cell_length_c 23.0068
_cell_angle_alpha 90.00
_cell_angle_beta 90.00
_cell_angle_gamma 120.00
loop_
_atom_site_label
_atom_site_fract_x
_atom_site_fract_y
_atom_site_fract_z
Li1 0.0000 0.0000 0.0000
Dy1 0.0000 0.0000 0.8309
Hg1 0.0000 0.0000 0.2600
Hg2 0.0000 0.0000 0.4032
```

Properties
crystal system = trigonal

---

6.
Entry from Alexandria via LeMat-Bulk: crystalline LiDy2Hg3 at its relaxed geometry (PBE).

```
data_LiDy2Hg3
_chemical_formula_sum 'Li2 Dy4 Hg6'
_symmetry_space_group_name_H-M 'P -3 m 1'
_symmetry_Int_Tables_number 164
_symmetry_space_group_name_Hall '-P 3 2"'
_cell_length_a 5.1265
_cell_length_b 5.1265
_cell_length_c 12.5108
_cell_angle_alpha 90.00
_cell_angle_beta 90.00
_cell_angle_gamma 120.00
loop_
_atom_site_label
_atom_site_fract_x
_atom_site_fract_y
_atom_site_fract_z
Li1 0.3333 0.6667 0.1647
Dy1 0.0000 0.0000 0.0000
Dy2 0.0000 0.0000 0.5000
Dy3 0.3333 0.6667 0.6792
Hg1 0.0000 0.0000 0.2455
Hg2 0.3333 0.6667 0.4108
Hg3 0.3333 0.6667 0.9249
```

Properties
crystal system = trigonal

---

The following total DFT energy (no corrections) values (in eV/atom) correspond, in order, to the records above: -1.724 -1.415 -2.350 -2.051 -2.055 -2.460.
The following E_form values (in eV per formula unit) correspond, in order, to the records above: -1.5 -2.5 -0.7 -3.1 -1.1 -2.7.